[1]
VASP calculation (PBE-GGA) on AlZnNiPd after structural relaxation.

Unit cell a=5.9735 b=5.9735 c=5.9735 alpha=90.00 beta=90.00 gamma=90.00
Last column: nearest neighbours and their distance in Å.
Fractional positions:
Al 0.0000 0.0000 0.0000  4 Ni 2.59, 4 Pd 2.59
Al 0.0000 0.5000 0.5000  4 Ni 2.59, 4 Pd 2.59
Al 0.5000 0.0000 0.5000  4 Ni 2.59, 4 Pd 2.59
Al 0.5000 0.5000 0.0000  4 Ni 2.59, 4 Pd 2.59
Zn 0.0000 0.0000 0.5000  4 Ni 2.59, 4 Pd 2.59
Zn 0.0000 0.5000 0.0000  4 Ni 2.59, 4 Pd 2.59
Zn 0.5000 0.0000 0.0000  4 Ni 2.59, 4 Pd 2.59
Zn 0.5000 0.5000 0.5000  4 Ni 2.59, 4 Pd 2.59
Ni 0.2500 0.2500 0.2500  4 Al 2.59, 4 Zn 2.59
Ni 0.2500 0.7500 0.7500  4 Al 2.59, 4 Zn 2.59
Ni 0.7500 0.2500 0.7500  4 Al 2.59, 4 Zn 2.59
Ni 0.7500 0.7500 0.2500  4 Al 2.59, 4 Zn 2.59
Pd 0.2500 0.2500 0.7500  4 Al 2.59, 4 Zn 2.59
Pd 0.2500 0.7500 0.2500  4 Al 2.59, 4 Zn 2.59
Pd 0.7500 0.2500 0.2500  4 Al 2.59, 4 Zn 2.59
Pd 0.7500 0.7500 0.7500  4 Al 2.59, 4 Zn 2.59

Output
For the size of the total moment, the calculation gives 0.01 μB/cell. The raw total energy is -4.50 eV/atom.

[2]
VASP calculation (PBE-GGA) on Rb2MgHgF6 after structural relaxation.

Unit cell a=5.8286 b=5.8286 c=5.1752 alpha=102.57 beta=102.57 gamma=60.68
Last column: nearest neighbours and their distance in Å.
Fractional positions:
Rb 0.2211 0.2211 0.2096  6 F 2.61-2.77
Rb 0.7789 0.7789 0.7904  6 F 2.61-2.77
Mg 0.5000 0.5000 0.0000  6 F 1.94-1.99
Hg 0.0000 0.0000 0.5000  4 F 2.16
F 0.1983 0.6781 0.1985  1 Mg 1.94, 1 Hg 2.16
F 0.3144 0.3144 0.7489  1 Mg 1.99
F 0.3219 0.8017 0.8015  1 Mg 1.94, 1 Hg 2.16
F 0.6781 0.1983 0.1985  1 Mg 1.94, 1 Hg 2.16
F 0.6856 0.6856 0.2511  1 Mg 1.99
F 0.8017 0.3219 0.8015  1 Mg 1.94, 1 Hg 2.16

Output
The raw total energy is -3.93 eV/atom.

- Which value of raw total energy does entry 1 give?
  -4.50 eV/atom